No. 1
A plane-wave DFT calculation with GGA-PBEsol was carried out for crystalline Ni2Rh at its relaxed geometry.

```
Ni2Rh
1.0
2.576 0.000 0.000
0.000 13.061 0.000
0.000 0.000 4.155
Ni Rh
8 4
Direct
0.000 0.052 0.250
0.000 0.395 0.250
0.000 0.605 0.750
0.000 0.948 0.750
0.500 0.105 0.750
0.500 0.448 0.750
0.500 0.552 0.250
0.500 0.895 0.250
0.000 0.281 0.750
0.000 0.719 0.250
0.500 0.219 0.250
0.500 0.781 0.750
```

Values from the calculation:
Final energy (eV/cell): -80.8
V (Å³/cell): 139.8
Spin magnetization (μB/atom): 0.596
Energy relative to the elements (eV/atom): 0.085

***

No. 2
A plane-wave DFT calculation with GGA-PBEsol was carried out for crystalline Ni3Rh at its relaxed geometry.

```
Ni3Rh
1.0
5.058 0.000 0.000
-2.529 4.380 0.000
0.000 0.000 4.085
Ni Rh
6 2
Direct
0.163 0.327 0.250
0.163 0.837 0.250
0.327 0.163 0.750
0.673 0.837 0.250
0.837 0.163 0.750
0.837 0.673 0.750
0.333 0.667 0.750
0.667 0.333 0.250
```

Values from the calculation:
Final energy (eV/cell): -52.9
V (Å³/cell): 90.5
Spin magnetization (μB/atom): 0.779
Energy relative to the elements (eV/atom): 0.046

***

No. 3
A plane-wave DFT calculation with GGA-PBEsol was carried out for crystalline NiRh at its relaxed geometry.

```
NiRh
1.0
2.609 0.000 0.000
0.000 3.625 0.000
0.000 0.000 7.669
Ni Rh
3 3
Direct
0.000 0.000 0.000
0.500 0.500 0.156
0.500 0.500 0.844
0.000 0.000 0.321
0.000 0.000 0.679
0.500 0.500 0.500
```

Values from the calculation:
Final energy (eV/cell): -42.5
V (Å³/cell): 72.5
Spin magnetization (μB/atom): 0.321
Energy relative to the elements (eV/atom): 0.057

***

No. 4
A plane-wave DFT calculation with GGA-PBEsol was carried out for crystalline NiRh5 at its relaxed geometry.

```
NiRh5
1.0
4.284 0.000 0.000
0.000 2.673 0.000
0.000 0.000 13.723
Ni Rh
2 10
Direct
0.000 0.000 0.000
0.000 0.500 0.500
0.000 0.000 0.336
0.000 0.000 0.663
0.000 0.500 0.163
0.000 0.500 0.836
0.500 0.000 0.109
0.500 0.000 0.446
0.500 0.000 0.778
0.500 0.500 0.278
0.500 0.500 0.609
0.500 0.500 0.946
```

Values from the calculation:
Final energy (eV/cell): -92.9
V (Å³/cell): 157.2
Spin magnetization (μB/atom): 0.153
Energy relative to the elements (eV/atom): 0.065

***

No. 5
A plane-wave DFT calculation with GGA-PBEsol was carried out for crystalline Ni2Rh3 at its relaxed geometry.

```
Ni2Rh3
1.0
2.638 0.000 0.000
0.000 2.638 0.000
0.000 0.000 17.707
Ni Rh
4 6
Direct
0.000 0.000 0.098
0.000 0.000 0.902
0.500 0.500 0.402
0.500 0.500 0.598
0.000 0.000 0.303
0.000 0.000 0.500
0.000 0.000 0.697
0.500 0.500 0.000
0.500 0.500 0.197
0.500 0.500 0.803
```

Values from the calculation:
Final energy (eV/cell): -72.9
V (Å³/cell): 123.2
Distance to the lowest polymorph of the same formula (eV per formula unit): 0.11
Spin magnetization (μB/atom): 0.000
Energy relative to the elements (eV/atom): 0.055

***

No. 6
A plane-wave DFT calculation with GGA-PBEsol was carried out for crystalline Ni2Rh at its relaxed geometry.

```
Ni2Rh
1.0
4.012 0.000 0.000
-2.006 3.475 0.000
0.000 0.000 2.514
Ni Rh
2 1
Direct
0.333 0.667 0.000
0.667 0.333 0.000
0.000 0.000 0.500
```

Values from the calculation:
Final energy (eV/cell): -20.1
V (Å³/cell): 35.0
Spin magnetization (μB/atom): 0.789
Energy relative to the elements (eV/atom): 0.111

***

No. 7
A plane-wave DFT calculation with GGA-PBEsol was carried out for crystalline NiRh at its relaxed geometry.

```
NiRh
1.0
3.991 0.000 0.000
-1.995 3.456 0.000
0.000 0.000 4.752
Ni Rh
2 2
Direct
0.333 0.667 0.250
0.667 0.333 0.750
0.333 0.667 0.750
0.667 0.333 0.250
```

Values from the calculation:
Final energy (eV/cell): -24.3
V (Å³/cell): 65.5
Spin magnetization (μB/atom): 0.582
Energy relative to the elements (eV/atom): 1.076

***

No. 8
A plane-wave DFT calculation with GGA-PBEsol was carried out for crystalline NiRh at its relaxed geometry.

```
NiRh
1.0
2.608 0.000 0.000
-1.304 2.258 0.000
0.000 0.000 12.414
Ni Rh
3 3
Direct
0.000 0.000 0.000
0.333 0.667 0.667
0.667 0.333 0.333
0.000 0.000 0.500
0.333 0.667 0.167
0.667 0.333 0.833
```

Values from the calculation:
Final energy (eV/cell): -42.5
V (Å³/cell): 73.1
Spin magnetization (μB/atom): 0.497
Energy relative to the elements (eV/atom): 0.070

***

No. 9
A plane-wave DFT calculation with GGA-PBEsol was carried out for crystalline Ni2Rh at its relaxed geometry.

```
Ni2Rh
1.0
9.252 0.000 0.000
0.000 2.585 0.000
-1.683 0.000 5.832
Ni Rh
8 4
Direct
0.029 0.000 0.290
0.139 0.500 0.028
0.361 0.000 0.972
0.471 0.500 0.710
0.529 0.500 0.290
0.639 0.000 0.028
0.861 0.500 0.972
0.971 0.000 0.710
0.188 0.500 0.638
0.312 0.000 0.362
0.688 0.000 0.638
0.812 0.500 0.362
```

Values from the calculation:
Final energy (eV/cell): -81.0
V (Å³/cell): 139.5
Spin magnetization (μB/atom): 0.702
Energy relative to the elements (eV/atom): 0.066

***

No. 10
A plane-wave DFT calculation with GGA-PBEsol was carried out for crystalline Ni2Rh at its relaxed geometry.

```
Ni2Rh
1.0
9.317 0.000 0.000
0.000 2.584 0.000
-1.532 0.000 5.813
Ni Rh
8 4
Direct
0.000 0.000 0.000
0.056 0.000 0.613
0.168 0.500 0.344
0.337 0.000 0.671
0.500 0.500 0.000
0.556 0.500 0.613
0.668 0.000 0.344
0.837 0.500 0.671
0.220 0.500 0.940
0.391 0.000 0.284
0.720 0.000 0.940
0.891 0.500 0.284
```

Values from the calculation:
Final energy (eV/cell): -81.0
V (Å³/cell): 139.9
Spin magnetization (μB/atom): 0.711
Energy relative to the elements (eV/atom): 0.069

***

No. 11
A plane-wave DFT calculation with GGA-PBEsol was carried out for crystalline NiRh4 at its relaxed geometry.

```
NiRh4
1.0
2.654 0.000 0.000
0.000 3.708 0.000
0.000 0.000 13.148
Ni Rh
2 8
Direct
0.000 0.000 0.000
0.500 0.500 0.500
0.000 0.000 0.199
0.000 0.000 0.404
0.000 0.000 0.596
0.000 0.000 0.801
0.500 0.500 0.096
0.500 0.500 0.301
0.500 0.500 0.699
0.500 0.500 0.904
```

Values from the calculation:
Final energy (eV/cell): -77.1
V (Å³/cell): 129.4
Distance to the lowest polymorph of the same formula (eV per formula unit): 0.02
Spin magnetization (μB/atom): 0.001
Energy relative to the elements (eV/atom): 0.028

***

No. 12
A plane-wave DFT calculation with GGA-PBEsol was carried out for crystalline Ni3Rh at its relaxed geometry.

```
Ni3Rh
1.0
2.549 0.000 0.000
0.000 2.549 0.000
0.000 0.000 6.958
Ni Rh
3 1
Direct
0.000 0.000 0.000
0.500 0.500 0.239
0.500 0.500 0.761
0.000 0.000 0.500
```

Values from the calculation:
Final energy (eV/cell): -26.4
V (Å³/cell): 45.2
Spin magnetization (μB/atom): 0.621
Energy relative to the elements (eV/atom): 0.053

***

What is the formula in the ninth record?
Ni2Rh